No. 1
A relaxed structure of Ba4Au3I. Source: Alexandria, functional PBE.

Properties
As for the density of states at the Fermi level: 3.46 states/eV/f.u. The spin magnetization comes out at 0.0 μB/f.u. The uncorrected formation energy is -0.876 eV per atom.

Structure (CIF):
```
data_Ba4Au3I
_chemical_formula_sum 'Ba8 Au6 I2'
_cell_length_a 4.7588
_cell_length_b 4.7588
_cell_length_c 33.2039
_cell_angle_alpha 90.00
_cell_angle_beta 90.00
_cell_angle_gamma 120.00
_symmetry_space_group_name_H-M 'P 63/m m c'
_symmetry_Int_Tables_number 194
_symmetry_space_group_name_Hall '-P 6c 2c'
loop_
_atom_site_label
_atom_site_fract_x
_atom_site_fract_y
_atom_site_fract_z
Ba1 0.0000 0.0000 0.1722
Ba2 0.3333 0.6667 0.0587
Au1 0.0000 0.0000 0.0000
Au2 0.3333 0.6667 0.6191
I1 0.3333 0.6667 0.2500
```



No. 2
A relaxed structure of BaAuI3. Source: Alexandria, functional PBE.

Properties
As for the density of states at the Fermi level: 0.00 states/eV/f.u. The spin magnetization comes out at 0.0 μB/f.u. The uncorrected formation energy is -1.078 eV per atom.

Structure (CIF):
```
data_BaAuI3
_chemical_formula_sum 'Ba4 Au4 I12'
_cell_length_a 8.4385
_cell_length_b 8.9242
_cell_length_c 13.3017
_cell_angle_alpha 90.00
_cell_angle_beta 116.74
_cell_angle_gamma 90.00
_symmetry_space_group_name_H-M 'P 1 21/c 1'
_symmetry_Int_Tables_number 14
loop_
_symmetry_equiv_pos_as_xyz
'x,y,z'
'-x,-y,-z'
'-x,y+1/2,-z+1/2'
'x,-y+1/2,z+1/2'
loop_
_atom_site_label
_atom_site_fract_x
_atom_site_fract_y
_atom_site_fract_z
Ba1 0.1476 0.1276 0.2085
Au1 0.3373 0.6463 0.3424
I1 0.1190 0.1753 0.9341
I2 0.2310 0.6381 0.9286
I3 0.4520 0.0637 0.7564
```



No. 3
A relaxed structure of Ba6Au2I. Source: Alexandria, functional PBE.

Properties
As for the density of states at the Fermi level: 9.51 states/eV/f.u. The spin magnetization comes out at 0.6 μB/f.u. The uncorrected formation energy is -0.592 eV per atom.

Structure (CIF):
```
data_Ba6Au2I
_chemical_formula_sum 'Ba12 Au4 I2'
_cell_length_a 20.5336
_cell_length_b 4.7336
_cell_length_c 9.9373
_cell_angle_alpha 90.00
_cell_angle_beta 101.53
_cell_angle_gamma 90.00
_symmetry_space_group_name_H-M 'C 1 2/m 1'
_symmetry_Int_Tables_number 12
loop_
_symmetry_equiv_pos_as_xyz
'x,y,z'
'-x,-y,-z'
'-x,y,-z'
'x,-y,z'
'x+1/2,y+1/2,z'
'-x+1/2,-y+1/2,-z'
'-x+1/2,y+1/2,-z'
'x+1/2,-y+1/2,z'
loop_
_atom_site_label
_atom_site_fract_x
_atom_site_fract_y
_atom_site_fract_z
Ba1 0.0022 0.0000 0.2786
Ba2 0.1695 0.5000 0.5697
Ba3 0.1784 0.5000 0.1104
Au1 0.1644 0.0000 0.3323
I1 0.0000 0.5000 0.0000
```



No. 4
A relaxed structure of Ba3AuI2. Source: Alexandria, functional PBE.

Properties
As for the density of states at the Fermi level: 4.39 states/eV/f.u. The spin magnetization comes out at 0.0 μB/f.u. The uncorrected formation energy is -1.148 eV per atom.

Structure (CIF):
```
data_Ba3AuI2
_chemical_formula_sum 'Ba12 Au4 I8'
_cell_length_a 8.4599
_cell_length_b 14.6023
_cell_length_c 9.1699
_cell_angle_alpha 90.00
_cell_angle_beta 107.85
_cell_angle_gamma 90.00
_symmetry_space_group_name_H-M 'C 1 2/m 1'
_symmetry_Int_Tables_number 12
loop_
_symmetry_equiv_pos_as_xyz
'x,y,z'
'-x,-y,-z'
'-x,y,-z'
'x,-y,z'
'x+1/2,y+1/2,z'
'-x+1/2,-y+1/2,-z'
'-x+1/2,y+1/2,-z'
'x+1/2,-y+1/2,z'
loop_
_atom_site_label
_atom_site_fract_x
_atom_site_fract_y
_atom_site_fract_z
Ba1 0.2098 0.0000 0.2140
Ba2 0.2459 0.1813 0.7826
Au1 0.0000 0.1678 0.0000
I1 0.0000 0.0000 0.5000
I2 0.0000 0.3442 0.5000
I3 0.0000 0.5000 0.0000
```



No. 5
A relaxed structure of BaAuI3. Source: Alexandria, functional PBE.

Properties
As for the density of states at the Fermi level: 6.51 states/eV/f.u. The spin magnetization comes out at 0.0 μB/f.u. The uncorrected formation energy is -0.319 eV per atom.

Structure (CIF):
```
data_BaAuI3
_chemical_formula_sum 'Ba1 Au1 I3'
_cell_length_a 6.7293
_cell_length_b 6.7293
_cell_length_c 6.7293
_cell_angle_alpha 90.00
_cell_angle_beta 90.00
_cell_angle_gamma 90.00
_symmetry_space_group_name_H-M 'P m -3 m'
_symmetry_Int_Tables_number 221
_symmetry_space_group_name_Hall '-P 4 2 3'
loop_
_atom_site_label
_atom_site_fract_x
_atom_site_fract_y
_atom_site_fract_z
Ba1 0.0000 0.0000 0.0000
Au1 0.5000 0.5000 0.5000
I1 0.0000 0.0000 0.5000
```



No. 6
A relaxed structure of Ba4AuI6. Source: Alexandria, functional PBE.

Properties
As for the density of states at the Fermi level: 5.89 states/eV/f.u. The spin magnetization comes out at 1.1 μB/f.u. The uncorrected formation energy is -1.495 eV per atom.

Structure (CIF):
```
data_Ba4AuI6
_chemical_formula_sum 'Ba8 Au2 I12'
_cell_length_a 11.4267
_cell_length_b 11.4267
_cell_length_c 8.4341
_cell_angle_alpha 90.00
_cell_angle_beta 90.00
_cell_angle_gamma 90.00
_symmetry_space_group_name_H-M 'P 42/n m c'
_symmetry_Int_Tables_number 137
loop_
_symmetry_equiv_pos_as_xyz
'x,y,z'
'-x,-y,-z'
'-y+1/2,x,z+1/2'
'y+1/2,-x,-z+1/2'
'-x+1/2,-y+1/2,z'
'x+1/2,y+1/2,-z'
'y,-x+1/2,z+1/2'
'-y,x+1/2,-z+1/2'
'x+1/2,-y,-z'
'-x+1/2,y,z'
'-y,-x,-z+1/2'
'y,x,z+1/2'
'-x,y+1/2,-z'
'x,-y+1/2,z'
'y+1/2,x+1/2,-z+1/2'
'-y+1/2,-x+1/2,z+1/2'
loop_
_atom_site_label
_atom_site_fract_x
_atom_site_fract_y
_atom_site_fract_z
Ba1 0.0015 0.2500 0.0592
Au1 0.2500 0.7500 0.7500
I1 0.0329 0.5329 0.2500
I2 0.2500 0.2500 0.3176
```



no.,calculated total energy (eV/atom)
1,-3.26
2,-3.05
3,-2.77
4,-3.17
5,-2.29
6,-3.34